Pr5Te4Au | GGA-PBE | relaxed

Properties
Its space group is I4/mmm (139). The density of states at the Fermi level is 8.13 states/eV/cell. For the offset from the most stable computed form, the calculation gives 3.0 kJ per mole of atoms. Its uncorrected formation energy is -1292 meV/atom.

```
Pr5Te4Au
1.0
-1.775 3.825 1.580
-2.787 0.167 -3.533
-8.538 -10.377 9.113
Pr Te Au
5 4 1
Direct
0.300 0.300 0.600
0.097 0.097 0.195
0.903 0.903 0.805
0.500 0.500 0.000
0.700 0.700 0.400
0.198 0.198 0.397
0.600 0.600 0.200
0.802 0.802 0.603
0.400 0.400 0.800
0.000 0.000 0.000
```